# 1
An optimized crystal structure of Li4Ga2CoCu, computed with PBE.

Values from the calculation:
uncorrected energy: -3.262 eV per atom
size of the total moment: 0.061 μB per atom

a = 4.1635 Å, b = 4.1635 Å, c = 5.9132 Å
α = 90.00°, β = 90.00°, γ = 90.00°
Space group P-4m2 (No. 115)
Unique sites:
Li: 0.0000 0.0000 0.0000 (multiplicity 1)
Li: 0.0000 0.5000 0.7494 (multiplicity 2)
Li: 0.5000 0.5000 0.5000 (multiplicity 1)
Ga: 0.0000 0.5000 0.2694 (multiplicity 2)
Co: 0.0000 0.0000 0.5000 (multiplicity 1)
Cu: 0.5000 0.5000 0.0000 (multiplicity 1)

=====

# 2
An optimized crystal structure of AlW2N, computed with PBE.

Values from the calculation:
energy above the lowest structure with this stoichiometry: 1.49 kcal/mol of atoms
size of the total moment: 0.001 μB per atom

a = 2.8360 Å, b = 2.8360 Å, c = 14.8791 Å
α = 90.00°, β = 90.00°, γ = 120.00°
Space group P6_3/mmc (No. 194)
Unique sites:
Al: 0.3333 0.6667 0.2500 (multiplicity 2)
W: 0.3333 0.6667 0.5980 (multiplicity 4)
N: 0.0000 0.0000 0.0000 (multiplicity 2)

=====

# 3
An optimized crystal structure of GeMo, computed with PBE.

Values from the calculation:
uncorrected energy: -7.794 eV per atom
size of the total moment: 0.000 μB per atom

a = 3.1934 Å, b = 3.1934 Å, c = 3.6241 Å
α = 90.00°, β = 90.00°, γ = 120.00°
Space group P-6m2 (No. 187)
Unique sites:
Ge: 0.0000 0.0000 0.0000 (multiplicity 1)
Mo: 0.6667 0.3333 0.5000 (multiplicity 1)

=====

# 4
An optimized crystal structure of CsTbTeO, computed with PBE.

Values from the calculation:
energy above the lowest structure with this stoichiometry: 9.81 kcal/mol of atoms
size of the total moment: 0.000 μB per atom

a = 4.5017 Å, b = 4.5017 Å, c = 10.8218 Å
α = 90.00°, β = 90.00°, γ = 90.00°
Space group P4/nmm (No. 129, origin choice 2)
Unique sites:
Cs: 0.2500 0.7500 0.0000 (multiplicity 2)
Tb: 0.2500 0.2500 0.4299 (multiplicity 2)
Te: 0.2500 0.2500 0.7449 (multiplicity 2)
O: 0.2500 0.7500 0.5000 (multiplicity 2)

=====

# 5
An optimized crystal structure of BaAg2SbAs, computed with PBE.

Values from the calculation:
uncorrected energy: -3.759 eV per atom

a = 4.8029 Å, b = 4.8029 Å, c = 11.0498 Å
α = 90.00°, β = 90.00°, γ = 90.00°
Space group P4/nmm (No. 129, origin choice 2)
Unique sites:
Ba: 0.2500 0.2500 0.2379 (multiplicity 2)
Ag: 0.2500 0.2500 0.8896 (multiplicity 2)
Ag: 0.2500 0.7500 0.5000 (multiplicity 2)
Sb: 0.2500 0.2500 0.6391 (multiplicity 2)
As: 0.2500 0.7500 0.0000 (multiplicity 2)

=====

# 6
An optimized crystal structure of La2AsPPd2, computed with PBE.

Values from the calculation:
uncorrected energy: -6.329 eV per atom
size of the total moment: 0.000 μB per atom

a = 4.3582 Å, b = 4.3582 Å, c = 7.9947 Å
α = 90.00°, β = 90.00°, γ = 120.00°
Space group P3m1 (No. 156)
Unique sites:
La: 0.0000 0.0000 0.0000 (multiplicity 1)
La: 0.0000 0.0000 0.4916 (multiplicity 1)
As: 0.6667 0.3333 0.7432 (multiplicity 1)
P: 0.3333 0.6667 0.2433 (multiplicity 1)
Pd: 0.3333 0.6667 0.7476 (multiplicity 1)
Pd: 0.6667 0.3333 0.2473 (multiplicity 1)

=====

# 7
An optimized crystal structure of Nd3Dy2HoCoTe2, computed with PBE.

Values from the calculation:
uncorrected energy: -5.315 eV per atom
size of the total moment: 0.000 μB per atom

a = 3.9982 Å, b = 14.6630 Å, c = 8.4655 Å
α = 90.00°, β = 90.00°, γ = 90.00°
Space group Amm2 (No. 38)
Unique sites:
Nd: 0.0000 0.0000 0.0000 (multiplicity 2)
Nd: 0.0000 0.2018 0.3944 (multiplicity 4)
Dy: 0.5000 0.1158 0.7120 (multiplicity 4)
Ho: 0.5000 0.0000 0.3648 (multiplicity 2)
Co: 0.0000 0.0000 0.5958 (multiplicity 2)
Te: 0.5000 0.1666 0.0963 (multiplicity 4)

=====

# 8
An optimized crystal structure of CsDyBeS3, computed with PBE.

Values from the calculation:
uncorrected energy: -5.169 eV per atom
size of the total moment: 0.000 μB per atom

a = 3.8995 Å, b = 15.5093 Å, c = 10.4601 Å
α = 90.00°, β = 90.00°, γ = 90.00°
Space group Cmcm (No. 63)
Unique sites:
Cs: 0.0000 0.2388 0.2500 (multiplicity 4)
Dy: 0.0000 0.5000 0.0000 (multiplicity 4)
Be: 0.0000 0.0403 0.7500 (multiplicity 4)
S: 0.0000 0.1103 0.5793 (multiplicity 8)
S: 0.0000 0.4553 0.7500 (multiplicity 4)

=====

# 9
An optimized crystal structure of CdInHg2, computed with PBE.

Values from the calculation:
uncorrected energy: -1.023 eV per atom

a = 7.4551 Å, b = 7.4551 Å, c = 7.4551 Å
α = 90.00°, β = 90.00°, γ = 90.00°
Space group F-43m (No. 216)
Unique sites:
Cd: 0.0000 0.0000 0.0000 (multiplicity 4)
In: 0.2500 0.2500 0.7500 (multiplicity 4)
Hg: 0.0000 0.0000 0.5000 (multiplicity 4)
Hg: 0.2500 0.2500 0.2500 (multiplicity 4)

=====

# 10
An optimized crystal structure of NdNbIn, computed with PBE.

Values from the calculation:
energy above the lowest structure with this stoichiometry: 0.00 kcal/mol of atoms
size of the total moment: 0.206 μB per atom

a = 6.9615 Å, b = 6.9615 Å, c = 6.9615 Å
α = 90.00°, β = 90.00°, γ = 90.00°
Space group F-43m (No. 216)
Unique sites:
Nd: 0.0000 0.0000 0.0000 (multiplicity 4)
Nb: 0.0000 0.0000 0.5000 (multiplicity 4)
In: 0.2500 0.2500 0.7500 (multiplicity 4)

=====

# 11
An optimized crystal structure of SmIrPd, computed with PBE.

Values from the calculation:
energy above the lowest structure with this stoichiometry: 0.00 kcal/mol of atoms
energy of formation: -55.4 kJ/mol of formula units
size of the total moment: 0.000 μB per atom

a = 6.4761 Å, b = 6.4761 Å, c = 6.4761 Å
α = 90.00°, β = 90.00°, γ = 90.00°
Space group F-43m (No. 216)
Unique sites:
Sm: 0.0000 0.0000 0.0000 (multiplicity 4)
Ir: 0.2500 0.2500 0.2500 (multiplicity 4)
Pd: 0.0000 0.0000 0.5000 (multiplicity 4)

=====

# 12
An optimized crystal structure of Ga2FeNiPt4, computed with PBE.

Values from the calculation:
uncorrected energy: -5.900 eV per atom
size of the total moment: 0.366 μB per atom

a = 4.4519 Å, b = 4.4519 Å, c = 5.6565 Å
α = 90.00°, β = 90.00°, γ = 90.00°
Space group P4/mmm (No. 123)
Unique sites:
Ga: 0.0000 0.0000 0.0000 (multiplicity 1)
Ga: 0.5000 0.5000 0.5000 (multiplicity 1)
Fe: 0.0000 0.0000 0.5000 (multiplicity 1)
Ni: 0.5000 0.5000 0.0000 (multiplicity 1)
Pt: 0.0000 0.5000 0.2496 (multiplicity 4)

=====

# 13
An optimized crystal structure of BaYPu, computed with PBE.

Values from the calculation:
energy above the lowest structure with this stoichiometry: 2.06 kcal/mol of atoms
size of the total moment: 2.309 μB per atom

a = 7.7099 Å, b = 7.7099 Å, c = 7.7099 Å
α = 90.00°, β = 90.00°, γ = 90.00°
Space group F-43m (No. 216)
Unique sites:
Ba: 0.0000 0.0000 0.0000 (multiplicity 4)
Y: 0.2500 0.2500 0.2500 (multiplicity 4)
Pu: 0.2500 0.2500 0.7500 (multiplicity 4)

=====

# 14
An optimized crystal structure of LiHf2Cu, computed with PBE.

Values from the calculation:
uncorrected energy: -5.937 eV per atom
size of the total moment: 0.094 μB per atom

a = 6.6115 Å, b = 6.6115 Å, c = 6.6115 Å
α = 90.00°, β = 90.00°, γ = 90.00°
Space group F-43m (No. 216)
Unique sites:
Li: 0.0000 0.0000 0.0000 (multiplicity 4)
Hf: 0.0000 0.0000 0.5000 (multiplicity 4)
Hf: 0.2500 0.2500 0.7500 (multiplicity 4)
Cu: 0.2500 0.2500 0.2500 (multiplicity 4)

=====

# 15
An optimized crystal structure of CdTcAsO, computed with PBE.

Values from the calculation:
energy above the lowest structure with this stoichiometry: 5.57 kcal/mol of atoms
size of the total moment: 0.135 μB per atom

a = 3.9861 Å, b = 3.9861 Å, c = 8.4225 Å
α = 90.00°, β = 90.00°, γ = 90.00°
Space group P4/nmm (No. 129, origin choice 2)
Unique sites:
Cd: 0.2500 0.2500 0.1132 (multiplicity 2)
Tc: 0.2500 0.7500 0.5000 (multiplicity 2)
As: 0.2500 0.2500 0.6847 (multiplicity 2)
O: 0.2500 0.7500 0.0000 (multiplicity 2)

=====

# 16
An optimized crystal structure of TaAgOs, computed with PBE.

Values from the calculation:
energy above the lowest structure with this stoichiometry: 0.00 kcal/mol of atoms
energy of formation: 178.8 kJ/mol of formula units
size of the total moment: 0.000 μB per atom

a = 6.1741 Å, b = 6.1741 Å, c = 6.1741 Å
α = 90.00°, β = 90.00°, γ = 90.00°
Space group F-43m (No. 216)
Unique sites:
Ta: 0.0000 0.0000 0.0000 (multiplicity 4)
Ag: 0.0000 0.0000 0.5000 (multiplicity 4)
Os: 0.2500 0.2500 0.7500 (multiplicity 4)

=====

# 17
An optimized crystal structure of GdBeFe, computed with PBE.

Values from the calculation:
energy above the lowest structure with this stoichiometry: 0.00 kcal/mol of atoms
size of the total moment: 0.454 μB per atom

a = 5.9716 Å, b = 5.9716 Å, c = 5.9716 Å
α = 90.00°, β = 90.00°, γ = 90.00°
Space group F-43m (No. 216)
Unique sites:
Gd: 0.0000 0.0000 0.0000 (multiplicity 4)
Be: 0.2500 0.2500 0.7500 (multiplicity 4)
Fe: 0.0000 0.0000 0.5000 (multiplicity 4)

=====

# 18
An optimized crystal structure of Cu7Ag3, computed with PBE.

Values from the calculation:
energy above the lowest structure with this stoichiometry: 0.79 kcal/mol of atoms
energy of formation: 76.2 kJ/mol of formula units

a = 18.3842 Å, b = 2.7410 Å, c = 5.5092 Å
α = 90.00°, β = 98.76°, γ = 90.00°
Space group C2/m (No. 12)
Unique sites:
Cu: 0.0000 0.0000 0.0000 (multiplicity 2)
Cu: 0.0972 0.5000 0.8246 (multiplicity 4)
Cu: 0.0987 0.5000 0.2763 (multiplicity 4)
Cu: 0.1974 0.0000 0.0947 (multiplicity 4)
Ag: 0.0000 0.0000 0.5000 (multiplicity 2)
Ag: 0.1944 0.0000 0.6054 (multiplicity 4)

=====

# 19
An optimized crystal structure of KLaNb, computed with PBE.

Values from the calculation:
energy above the lowest structure with this stoichiometry: 0.00 kcal/mol of atoms
size of the total moment: 1.492 μB per atom

a = 7.8535 Å, b = 7.8535 Å, c = 7.8535 Å
α = 90.00°, β = 90.00°, γ = 90.00°
Space group F-43m (No. 216)
Unique sites:
K: 0.0000 0.0000 0.0000 (multiplicity 4)
La: 0.0000 0.0000 0.5000 (multiplicity 4)
Nb: 0.2500 0.2500 0.7500 (multiplicity 4)

=====

# 20
An optimized crystal structure of TaTcNiB, computed with PBE.

Values from the calculation:
energy above the lowest structure with this stoichiometry: 4.14 kcal/mol of atoms
size of the total moment: 0.001 μB per atom

a = 5.8858 Å, b = 5.8858 Å, c = 5.8858 Å
α = 90.00°, β = 90.00°, γ = 90.00°
Space group F-43m (No. 216)
Unique sites:
Ta: 0.0000 0.0000 0.0000 (multiplicity 4)
Tc: 0.2500 0.2500 0.2500 (multiplicity 4)
Ni: 0.2500 0.2500 0.7500 (multiplicity 4)
B: 0.0000 0.0000 0.5000 (multiplicity 4)

=====

# 21
An optimized crystal structure of ZnSnHgSe3, computed with PBE.

Values from the calculation:
energy above the lowest structure with this stoichiometry: 2.16 kcal/mol of atoms

a = 3.8860 Å, b = 13.8792 Å, c = 12.0596 Å
α = 90.00°, β = 90.00°, γ = 90.00°
Space group Cmcm (No. 63)
Unique sites:
Zn: 0.0000 0.0000 0.0000 (multiplicity 4)
Sn: 0.0000 0.2391 0.2500 (multiplicity 4)
Hg: 0.0000 0.4673 0.7500 (multiplicity 4)
Se: 0.0000 0.1189 0.7500 (multiplicity 4)
Se: 0.0000 0.3827 0.5585 (multiplicity 8)

=====

# 22
An optimized crystal structure of Sm2In8Co, computed with PBE.

Values from the calculation:
uncorrected energy: -3.832 eV per atom
size of the total moment: 0.002 μB per atom

a = 4.6293 Å, b = 4.6293 Å, c = 12.3107 Å
α = 90.00°, β = 90.00°, γ = 90.00°
Space group P4/mmm (No. 123)
Unique sites:
Sm: 0.0000 0.0000 0.1945 (multiplicity 2)
In: 0.0000 0.5000 0.0000 (multiplicity 2)
In: 0.0000 0.5000 0.3824 (multiplicity 4)
In: 0.5000 0.5000 0.1938 (multiplicity 2)
Co: 0.0000 0.0000 0.5000 (multiplicity 1)

=====

# 23
An optimized crystal structure of Cu2SiHgSe4, computed with PBE.

Values from the calculation:
uncorrected energy: -3.675 eV per atom

a = 8.1004 Å, b = 6.8696 Å, c = 6.6313 Å
α = 90.00°, β = 90.00°, γ = 90.00°
Space group Pmn2_1 (No. 31)
Unique sites:
Cu: 0.2480 0.1765 0.0000 (multiplicity 4)
Si: 0.0000 0.6787 0.9939 (multiplicity 2)
Hg: 0.0000 0.3472 0.4977 (multiplicity 2)
Se: 0.0000 0.3509 0.9052 (multiplicity 2)
Se: 0.0000 0.7107 0.3437 (multiplicity 2)
Se: 0.2256 0.8454 0.8640 (multiplicity 4)

=====

# 24
An optimized crystal structure of SrAg2BiSb, computed with PBE.

Values from the calculation:
uncorrected energy: -3.529 eV per atom

a = 4.7581 Å, b = 4.7581 Å, c = 12.1562 Å
α = 90.00°, β = 90.00°, γ = 90.00°
Space group P4/nmm (No. 129, origin choice 2)
Unique sites:
Sr: 0.2500 0.2500 0.2309 (multiplicity 2)
Ag: 0.2500 0.2500 0.6481 (multiplicity 2)
Ag: 0.2500 0.7500 0.0000 (multiplicity 2)
Bi: 0.2500 0.7500 0.5000 (multiplicity 2)
Sb: 0.2500 0.2500 0.8686 (multiplicity 2)

=====

# 25
An optimized crystal structure of HfHgAu, computed with PBE.

Values from the calculation:
energy of formation: -24.0 kJ/mol of formula units
size of the total moment: 0.000 μB per atom

a = 6.4670 Å, b = 6.4670 Å, c = 6.4670 Å
α = 90.00°, β = 90.00°, γ = 90.00°
Space group F-43m (No. 216)
Unique sites:
Hf: 0.0000 0.0000 0.0000 (multiplicity 4)
Hg: 0.0000 0.0000 0.5000 (multiplicity 4)
Au: 0.2500 0.2500 0.2500 (multiplicity 4)

=====

# 26
An optimized crystal structure of Zr4Os3, computed with PBE.

Values from the calculation:
energy above the lowest structure with this stoichiometry: 0.00 kcal/mol of atoms
energy of formation: -133.8 kJ/mol of formula units
size of the total moment: 0.000 μB per atom

a = 8.1584 Å, b = 8.1584 Å, c = 4.6271 Å
α = 90.00°, β = 90.00°, γ = 120.00°
Space group P6_3/m (No. 176)
Unique sites:
Zr: 0.0011 0.2556 0.2500 (multiplicity 6)
Zr: 0.3333 0.6667 0.2500 (multiplicity 2)
Os: 0.1078 0.4794 0.7500 (multiplicity 6)